[1]
3
Lattice="-4.6146 0.0054 -0.1236 -0.1100 -2.2856 4.0092 -0.0736 5.2302 2.9797" Properties=species:S:1:pos:R:3 comment="AcHoEr | Alexandria via LeMat-Bulk | GGA-PBE | optimized geometry" volume_a3_per_cell=128.28 magmom_total_mub_per_cell=0.00 dos_at_fermi_per_ev_cell=4.9 sg="No. 123" pbc="T T T"
Ac 0.0000 0.0000 0.0000
Ho -2.3623 -1.1401 1.9428
Er -2.3991 1.4750 3.4327



[2]
16
Lattice="7.7855 1.0446 0.0000 -1.0446 7.7855 0.0000 0.0000 0.0000 11.1822" Properties=species:S:1:pos:R:3 comment="Ac14HoEr | Alexandria via LeMat-Bulk | GGA-PBE | optimized geometry" volume_a3_per_cell=690.00 magmom_total_mub_per_cell=0.00 dos_at_fermi_per_ev_cell=26.9 sg="No. 38" pbc="T T T"
Ac 2.2657 5.2585 5.5911
Ac 6.6825 1.8866 5.5911
Ac 6.1547 5.7736 0.0000
Ac 6.1628 5.7840 5.5911
Ac 2.7938 1.3711 0.0000
Ac 2.7859 1.3606 5.5911
Ac 3.9529 7.4666 8.4625
Ac 3.9529 7.4666 2.7197
Ac 0.5803 3.0488 8.4625
Ac 0.5803 3.0488 2.7197
Ac 0.0592 6.9429 8.4699
Ac 0.0592 6.9429 2.7123
Ac 4.4740 3.5726 8.4558
Ac 4.4740 3.5726 2.7264
Ho 2.2676 5.2570 0.0000
Er 6.6816 1.8873 0.0000



[3]
16
Lattice="7.2158 -0.1028 0.0000 -3.5186 6.3006 0.0000 0.0000 0.0000 11.2165" Properties=species:S:1:pos:R:3 comment="AcHoEr14 | Alexandria via LeMat-Bulk | GGA-PBE | optimized geometry" volume_a3_per_cell=505.89 magmom_total_mub_per_cell=0.00 dos_at_fermi_per_ev_cell=25.1 sg="No. 38" pbc="T T T"
Ac -1.7343 5.2362 0.0000
Ho 3.6259 2.0387 0.0000
Er 3.6396 2.0305 5.6082
Er -1.7286 5.2328 5.6082
Er 0.0399 2.0897 0.0000
Er 0.0294 2.0830 5.6082
Er 1.8774 5.1699 0.0000
Er 1.8783 5.1824 5.6082
Er 1.8193 1.0329 8.3520
Er 1.8193 1.0329 2.8645
Er 3.6527 4.1063 8.3520
Er 3.6526 4.1063 2.8645
Er 5.4283 0.9635 8.4087
Er 5.4283 0.9635 2.8078
Er 0.0748 4.1571 8.3562
Er 0.0748 4.1571 2.8603



[4]
20
Lattice="8.3913 1.2015 1.8034 -1.1792 8.3945 1.8034 -1.1792 -1.5689 8.4415" Properties=species:S:1:pos:R:3 comment="AcHo7Er12 | Alexandria via LeMat-Bulk | GGA-PBE | optimized geometry" volume_a3_per_cell=648.96 magmom_total_mub_per_cell=0.00 dos_at_fermi_per_ev_cell=37.5 sg="No. 148" pbc="T T T"
Ac 0.0000 0.0000 0.0000
Ho 5.2582 4.6353 10.5401
Ho 3.0426 0.7420 2.1381
Ho -0.1333 0.7680 3.7111
Ho 3.0165 4.0135 6.0242
Ho 6.1663 7.2591 8.3373
Ho 2.9904 7.2851 9.9102
Ho 0.7748 3.3918 1.5082
Er 5.9619 2.2033 8.1542
Er 5.5744 2.9437 3.0573
Er 4.4765 1.1020 5.5567
Er 6.2192 4.6733 5.6570
Er 1.2776 0.4439 6.8744
Er 2.7597 2.4192 8.8911
Er 3.2733 5.6079 3.1572
Er 4.7554 7.5832 5.1739
Er -0.1862 3.3538 6.3913
Er 1.5565 6.9251 6.4916
Er 0.4586 5.0834 8.9910
Er 0.0711 5.8238 3.8942



[5]
4
Lattice="5.9649 0.0000 0.0000 2.9824 5.1657 0.0000 2.9824 1.7219 4.8703" Properties=species:S:1:pos:R:3 comment="Ac2HoEr | Alexandria via LeMat-Bulk | GGA-PBE | optimized geometry" volume_a3_per_cell=150.07 magmom_total_mub_per_cell=0.00 dos_at_fermi_per_ev_cell=6.3 sg="No. 225" pbc="T T T"
Ac 2.9824 1.7219 1.2176
Ac 8.9473 5.1657 3.6527
Ho 0.0000 0.0000 0.0000
Er 5.9649 3.4438 2.4351



[6]
4
Lattice="4.9695 0.0000 0.0000 0.0000 5.4680 0.0000 0.0000 0.0000 5.4680" Properties=species:S:1:pos:R:3 comment="Ac2HoEr | Alexandria via LeMat-Bulk | GGA-PBE | optimized geometry" volume_a3_per_cell=148.59 magmom_total_mub_per_cell=0.00 dos_at_fermi_per_ev_cell=5.1 sg="No. 123" pbc="T T T"
Ac 0.0000 0.0000 2.7340
Ac 0.0000 2.7340 0.0000
Ho 2.4848 2.7340 2.7340
Er 2.4848 0.0000 0.0000



What energy of formation values result from the calculations? In sequence: 911, 32, 14, 241, 90, 54 meV per atom.